No. 1
Material: MnHgPb2
Method: DFT, PBE-GGA
State: optimized geometry

Cell: 3.4017 5.3185 11.2072 Å, 90.00 90.00 90.00°
With the nearest neighbours (Å) after each atom.
Atoms (fractional coordinates):
Mn: 0.0000 0.0000 0.0000  2 Hg 2.84, 6 Pb 3.04-3.16
Mn: 0.5000 0.5000 0.5000  2 Hg 2.84, 6 Pb 3.04-3.16
Hg: 0.0000 0.5000 0.2970  2 Mn 2.84
Hg: 0.5000 0.0000 0.7970  2 Mn 2.84
Pb: 0.0000 0.0000 0.5162  4 Mn 3.16, 4 Pb 3.40-3.54
Pb: 0.0000 0.5000 0.7247  2 Mn 3.04, 4 Hg 3.26, 2 Pb 3.40
Pb: 0.5000 0.0000 0.2247  2 Mn 3.04, 4 Hg 3.26, 2 Pb 3.40
Pb: 0.5000 0.5000 0.0162  4 Mn 3.16, 4 Pb 3.40-3.54

Space-group type = No. 44
DFT formation energy = 0.27 eV per atom
Crystal system = orthorhombic

No. 2
Material: MnHgPb
Method: DFT, PBE-GGA
State: optimized geometry

Cell: 4.7698 4.7698 3.6108 Å, 90.00 90.00 120.00°
With the nearest neighbours (Å) after each atom.
Atoms (fractional coordinates):
Mn: 0.0000 0.0000 0.0000  3 Hg 2.81, 3 Pb 3.12
Hg: 0.3333 0.6667 0.8513  3 Mn 2.81
Pb: 0.6667 0.3333 0.4046  3 Mn 3.12, 6 Hg 3.19-3.40

Space-group type = No. 156
DFT formation energy = 0.37 eV per atom
Crystal system = trigonal